Record 1
Computed, not measured: CrTe after structural relaxation at the PBE level of DFT.

```
data_CrTe
_space_group_name_H-M_alt 'P 1'
_space_group_IT_number 1
_cell_length_a 5.951
_cell_length_b 7.261
_cell_length_c 3.889
_cell_angle_alpha 74.47
_cell_angle_beta 70.93
_cell_angle_gamma 34.98
loop_
_space_group_symop_operation_xyz
'x,y,z'
loop_
_atom_site_label
_atom_site_fract_x
_atom_site_fract_y
_atom_site_fract_z
Cr1 0.991 0.042 0.983
Cr2 0.925 0.541 0.767
Te1 0.429 0.542 0.514
Te2 0.487 0.041 0.236
```

Summary:
Its space group is No. 12. For the formation energy from raw total energies, the calculation gives 109 meV per atom. As for the total magnetization: 7.98 μB per cell. The final energy comes out at -6.27 eV/atom.

=====

Record 2
Computed, not measured: TbCePrNd2 after structural relaxation at the PBE level of DFT.

```
data_TbCePrNd2
_space_group_name_H-M_alt 'P 1'
_space_group_IT_number 1
_cell_length_a 7.371
_cell_length_b 7.664
_cell_length_c 6.070
_cell_angle_alpha 90.00
_cell_angle_beta 90.00
_cell_angle_gamma 90.00
loop_
_space_group_symop_operation_xyz
'x,y,z'
loop_
_atom_site_label
_atom_site_fract_x
_atom_site_fract_y
_atom_site_fract_z
Tb1 0.615 0.000 0.250
Tb2 0.385 0.000 0.750
Ce1 0.000 0.000 0.000
Ce2 0.000 0.000 0.500
Pr1 0.160 0.500 0.750
Pr2 0.840 0.500 0.250
Nd1 0.683 0.714 0.750
Nd2 0.683 0.286 0.750
Nd3 0.317 0.714 0.250
Nd4 0.317 0.286 0.250
```

Summary:
Its space group is No. 51. As for the total magnetization: 2.99 μB per cell. The final energy comes out at -4.72 eV/atom.

=====

Record 3
Computed, not measured: LiTm2Hf after structural relaxation at the PBE level of DFT.

```
data_LiTm2Hf
_space_group_name_H-M_alt 'P 1'
_space_group_IT_number 1
_cell_length_a 3.321
_cell_length_b 3.321
_cell_length_c 11.142
_cell_angle_alpha 81.43
_cell_angle_beta 81.43
_cell_angle_gamma 60.00
loop_
_space_group_symop_operation_xyz
'x,y,z'
loop_
_atom_site_label
_atom_site_fract_x
_atom_site_fract_y
_atom_site_fract_z
Li1 0.500 0.500 0.500
Tm1 0.079 0.079 0.764
Tm2 0.254 0.254 0.237
Hf1 0.667 0.667 0.000
```

Summary:
Its space group is No. 160. As for the total magnetization: 0.00 μB per cell. The final energy comes out at -5.08 eV/atom. The calculation puts the energy above the most stable polymorph in this dataset at 34.6 meV per atom.